# CaMg2OsRu

A geometry-optimized CaMg2OsRu structure (PBE, Alexandria via LeMat-Bulk).

As for the space-group type: P4/mmm (123). The calculated volume comes out at 25.5 Å³ per atom. The total magnetic moment is 2.235 μB/f.u. The calculated total energy is -3.958 eV/atom. The density of states at the Fermi level comes out at 4.52 states/eV/cell.

Unit cell a=4.9509 b=4.9509 c=5.2021 alpha=90.00 beta=90.00 gamma=90.00
Last column: nearest neighbours and their distance in Å.
Element x y z (fractional)
Ca: 0.0000 0.0000 0.0000  2 Os 2.60
Mg: 0.0000 0.5000 0.5000  2 Os 2.48
Mg: 0.5000 0.0000 0.5000  2 Os 2.48
Os: 0.0000 0.0000 0.5000  4 Mg 2.48, 2 Ca 2.60
Ru: 0.5000 0.5000 0.0000  4 Ca 3.50, 8 Mg 3.59


# Tb2AlGePt6

A geometry-optimized Tb2AlGePt6 structure (PBE, Alexandria via LeMat-Bulk).

As for the space-group type: P-1 (2). The calculated volume comes out at 20.9 Å³ per atom. The total magnetic moment is 0.000 μB/f.u. The calculated total energy is -6.279 eV/atom. The density of states at the Fermi level comes out at 3.05 states/eV/cell.

Unit cell a=5.5949 b=5.5955 c=8.3401 alpha=70.43 beta=89.93 gamma=60.09
Last column: nearest neighbours and their distance in Å.
Element x y z (fractional)
Tb: 0.2024 0.0943 0.1090  9 Pt 2.99-3.18, 3 Al 3.34
Tb: 0.7976 0.9057 0.8910  9 Pt 2.99-3.18, 3 Al 3.34
Al: 0.5000 0.5000 0.0000  6 Pt 2.49
Ge: 0.0000 0.5000 0.5000  6 Pt 2.53-2.54
Pt: 0.2483 0.5029 0.2461  1 Al 2.49, 1 Ge 2.53
Pt: 0.2532 0.4970 0.7534  1 Al 2.49, 1 Ge 2.54
Pt: 0.2531 0.9962 0.7531  1 Al 2.49, 1 Ge 2.54
Pt: 0.7469 0.0038 0.2469  1 Al 2.49, 1 Ge 2.54
Pt: 0.7468 0.5030 0.2466  1 Al 2.49, 1 Ge 2.54
Pt: 0.7517 0.4971 0.7539  1 Al 2.49, 1 Ge 2.53